Here is a geometry-optimized K2WBr structure from the Alexandria database. Energies are from PBE.

## Properties
final energy = -3.534 eV/atom
uncorrected formation energy = 0.67 eV/atom

```
K2WBr
1.0
3.791 0.000 0.000
0.000 3.799 0.000
0.000 3.796 9.203
Br K W
1 2 1
Direct
0.500 0.750 0.750 Br
0.000 0.031 0.969 K
0.000 0.469 0.531 K
0.500 0.250 0.250 W
```